[1]
{"formula": "Na2IrRh2Se6", "functional": "GGA-PBE", "state": "relaxed", "e_form_raw_mev_per_atom": -558.2, "sg": "C2/m (12)", "dos_ef_per_ev_fu": 8.84, "mass_density_g_cm3": 6.12, "cell": [[-0.251, 2.801, 5.917], [-5.313, -0.026, -3.832], [-0.036, -6.763, 1.979]], "species": ["Ir", "Se", "Rh", "Rh", "Se", "Se", "Na", "Na", "Se", "Se", "Se"], "fractional_positions": [[0.000, 0.000, 0.500], [0.396, 0.063, 0.688], [0.667, 0.333, 0.500], [0.333, 0.667, 0.500], [0.063, 0.396, 0.688], [0.604, 0.937, 0.312], [0.167, 0.833, 0.000], [0.833, 0.167, 0.000], [0.937, 0.604, 0.312], [0.732, 0.732, 0.691], [0.268, 0.268, 0.309]]}

=====

[2]
{"formula": "Na2Si4Ir3Rh", "functional": "GGA-PBE", "state": "relaxed", "e_form_raw_mev_per_atom": -585.2, "sg": "P-4m2 (115)", "dos_ef_per_ev_fu": 4.85, "mass_density_g_cm3": 8.39, "cell": [[-4.092, 0.057, 0.178], [0.130, -1.934, 3.609], [0.325, 8.711, 4.656]], "species": ["Si", "Rh", "Si", "Si", "Na", "Ir", "Ir", "Si", "Ir", "Na"], "fractional_positions": [[0.000, 0.000, 0.000], [0.500, 0.500, 0.500], [0.000, 0.500, 0.376], [0.500, 0.500, 0.000], [0.000, 0.500, 0.744], [0.000, 0.500, 0.130], [0.500, 0.000, 0.870], [0.500, 0.000, 0.624], [0.000, 0.000, 0.500], [0.500, 0.000, 0.256]]}

=====

[3]
{"formula": "NaSi2IrRh", "functional": "GGA-PBE", "state": "relaxed", "e_form_raw_mev_per_atom": -633.0, "sg": "I-4m2 (119)", "dos_ef_per_ev_fu": 2.02, "mass_density_g_cm3": 7.49, "cell": [[-1.162, 3.039, -2.482], [-2.272, -2.631, -2.158], [-2.157, 0.723, 5.268]], "species": ["Rh", "Ir", "Si", "Na", "Si"], "fractional_positions": [[0.750, 0.250, 0.500], [0.250, 0.750, 0.500], [0.626, 0.626, 0.252], [0.000, 0.000, 0.000], [0.374, 0.374, 0.748]]}